DFT (PBE) results for a relaxed Cs2MnPtSe4 crystal.

## Properties
Formation energy from raw total energies ... -697 meV/atom
Calculated total energy ... -4.554 eV per atom

Lattice parameters (Å, degrees): 5.605 15.180 24.656 90.00 90.00 90.00
Space group Fddd (No. 70, origin choice 2)
Unique sites:
Cs  0.125  0.125  0.305 [16 per cell]
Mn  0.125  0.125  0.625 [8 per cell]
Pt  0.125  0.125  0.125 [8 per cell]
Se  0.100  0.284  0.820 [32 per cell]

DFT (PBE) results for a relaxed GaCuSi crystal.

## Properties
Formation energy from raw total energies ... 930 meV/atom
Calculated total energy ... -3.252 eV per atom

Lattice parameters (Å, degrees): 4.0934 4.0934 9.5828 90.00 90.00 120.00
Space group P6_3/mmc (No. 194)
Unique sites:
Ga  0.0000  0.0000  0.2500 [2 per cell]
Cu  0.3333  0.6667  0.2500 [2 per cell]
Si  0.0000  0.0000  0.0000 [2 per cell]

What did the first record say?
DFT (PBE) results for a relaxed Cs2MnPtSe4 crystal.

## Properties
Formation energy from raw total energies ... -697 meV/atom
Calculated total energy ... -4.554 eV per atom

Lattice parameters (Å, degrees): 5.605 15.180 24.656 90.00 90.00 90.00
Space group Fddd (No. 70, origin choice 2)
Unique sites:
Cs  0.125  0.125  0.305 [16 per cell]
Mn  0.125  0.125  0.625 [8 per cell]
Pt  0.125  0.125  0.125 [8 per cell]
Se  0.100  0.284  0.820 [32 per cell]

> What is the formula in the second record?

GaCuSi